Below is a relaxed structure of Li6CeSn4, with properties calculated at the GGA-PBE level.

POSCAR file:
```
Li6CeSn4
1.0
7.623 0.000 0.000
-3.812 6.602 0.000
0.000 0.000 4.575
Li Ce Sn
6 1 4
Cartesian
-1.485 3.544 0.000
2.460 1.420 2.288
1.485 3.544 0.000
0.000 6.116 0.000
5.164 1.420 2.288
3.812 3.762 2.288
0.000 0.000 0.000
0.000 2.592 2.288
-1.567 5.306 2.288
1.567 5.306 2.288
3.812 2.201 0.000
```

Its density of states at the Fermi level is 10.244 states/eV/cell. The size of the total moment comes out at 0.106 μB/atom. The value obtained for the density is 4.73 g cm⁻³. For the final energy, the calculation gives -37.14 eV per cell. As for the space group: No. 187. Its calculated formation energy is -0.337 eV/atom.